Below is a geometry-optimized Sr2ZrVO6 structure, with properties calculated at the PBE with a Hubbard U level.

Cell: 11.4096 8.1660 5.7136 Å, 90.00 90.00 90.00°
Positions (direct):
Sr  0.1244  0.0007  0.2489
Sr  0.1244  0.4993  0.2489
Sr  0.3756  0.5007  0.7489
Sr  0.3756  0.9993  0.7489
Sr  0.6244  0.0007  0.2511
Sr  0.6244  0.4993  0.2511
Sr  0.8756  0.5007  0.7511
Sr  0.8756  0.9993  0.7511
Zr  0.1248  0.7500  0.7475
Zr  0.3752  0.2500  0.2475
Zr  0.6248  0.7500  0.7525
Zr  0.8752  0.2500  0.2525
V  0.1255  0.2500  0.7467
V  0.3745  0.7500  0.2467
V  0.6255  0.2500  0.7533
V  0.8745  0.7500  0.2533
O  0.9996  0.2500  0.5300
O  0.0004  0.7500  0.4700
O  0.0082  0.2500  0.0092
O  0.1249  0.0058  0.7394
O  0.1249  0.4942  0.7394
O  0.2397  0.2500  0.4846
O  0.2478  0.2500  0.9671
O  0.2522  0.7500  0.4671
O  0.2603  0.7500  0.9846
O  0.3751  0.5058  0.2394
O  0.3751  0.9942  0.2394
O  0.4918  0.7500  0.5092
O  0.4996  0.2500  0.9700
O  0.5004  0.7500  0.0300
O  0.5082  0.2500  0.4908
O  0.6249  0.0058  0.7606
O  0.6249  0.4942  0.7606
O  0.7397  0.2500  0.0154
O  0.7478  0.2500  0.5329
O  0.7522  0.7500  0.0329
O  0.7603  0.7500  0.5154
O  0.8751  0.5058  0.2606
O  0.8751  0.9942  0.2606
O  0.9918  0.7500  0.9908

Computed properties:
- Calculated total energy: -310.462 eV for the cell shown
- Total magnetic moment: 1.0 μB per formula unit